# 1
# CuSbTe2N | Alexandria | GGA-PBE | optimized geometry
# **Crystal system**: tetragonal
# **Energy above the most stable polymorph in this dataset**: 301 meV/atom
# **Energy relative to the elements, uncorrected**: 4.3 eV/f.u.
data_CuSbTe2N
_chemical_formula_sum 'Cu1 Sb1 Te2 N1'
_space_group_name_H-M_alt 'P 4/m m m'
_space_group_IT_number 123
_space_group_name_Hall '-P 4 2'
_cell_length_a 4.7717
_cell_length_b 4.7717
_cell_length_c 4.6822
_cell_angle_alpha 90.00
_cell_angle_beta 90.00
_cell_angle_gamma 90.00
loop_
_atom_site_label
_atom_site_fract_x
_atom_site_fract_y
_atom_site_fract_z
Cu1 0.0000 0.0000 0.0000
Sb1 0.5000 0.5000 0.0000
Te1 0.0000 0.5000 0.5000
N1 0.5000 0.5000 0.5000

# 2
# Tb2Pm4Nd2Tm | Alexandria | GGA-PBE | optimized geometry
# **Crystal system**: monoclinic
# **DFT formation energy**: 9 meV per atom
data_Tb2Pm4Nd2Tm
_chemical_formula_sum 'Tb4 Pm8 Nd4 Tm2'
_space_group_name_H-M_alt 'C 1 2/m 1'
_space_group_IT_number 12
_space_group_name_Hall '-C 2y'
_cell_length_a 18.9146
_cell_length_b 3.6546
_cell_length_c 9.7060
_cell_angle_alpha 90.00
_cell_angle_beta 115.59
_cell_angle_gamma 90.00
loop_
_atom_site_label
_atom_site_fract_x
_atom_site_fract_y
_atom_site_fract_z
Tb1 0.1477 0.0000 0.1665
Pm1 0.0183 0.5000 0.8325
Pm2 0.1855 0.0000 0.8331
Nd1 0.1652 0.5000 0.4981
Tm1 0.0000 0.0000 0.5000

# 3
# RbTl6Pb6 | Alexandria | GGA-PBE | optimized geometry
# **Crystal system**: orthorhombic
# **Energy above the most stable polymorph in this dataset**: 6 meV/atom
# **DFT formation energy**: -9 meV per atom
data_RbTl6Pb6
_chemical_formula_sum 'Rb2 Tl12 Pb12'
_space_group_name_H-M_alt 'I m m m'
_space_group_IT_number 71
_space_group_name_Hall '-I 2 2'
_cell_length_a 6.7263
_cell_length_b 11.3646
_cell_length_c 11.5657
_cell_angle_alpha 90.00
_cell_angle_beta 90.00
_cell_angle_gamma 90.00
loop_
_atom_site_label
_atom_site_fract_x
_atom_site_fract_y
_atom_site_fract_z
Rb1 0.0000 0.0000 0.0000
Tl1 0.0000 0.0000 0.3518
Tl2 0.0000 0.3552 0.0000
Tl3 0.0000 0.5000 0.3036
Pb1 0.0000 0.2672 0.5000
Pb2 0.2500 0.2500 0.2500

# 4
# Zn5Cu4Pt | Alexandria | GGA-PBE | optimized geometry
# **Crystal system**: tetragonal
# **Energy above the most stable polymorph in this dataset**: 0 meV/atom
# **DFT formation energy**: -176 meV per atom
data_Zn5Cu4Pt
_chemical_formula_sum 'Zn5 Cu4 Pt1'
_space_group_name_H-M_alt 'P 4/m m m'
_space_group_IT_number 123
_space_group_name_Hall '-P 4 2'
_cell_length_a 2.9897
_cell_length_b 2.9897
_cell_length_c 14.9424
_cell_angle_alpha 90.00
_cell_angle_beta 90.00
_cell_angle_gamma 90.00
loop_
_atom_site_label
_atom_site_fract_x
_atom_site_fract_y
_atom_site_fract_z
Zn1 0.0000 0.0000 0.0000
Zn2 0.0000 0.0000 0.1946
Zn3 0.0000 0.0000 0.3904
Cu1 0.5000 0.5000 0.0970
Cu2 0.5000 0.5000 0.2918
Pt1 0.5000 0.5000 0.5000

# 5
# Ni2OsBr | Alexandria | GGA-PBE | optimized geometry
# **Crystal system**: orthorhombic
# **Energy above the most stable polymorph in this dataset**: 0 meV/atom
# **Energy relative to the elements, uncorrected**: 1.9 eV/f.u.
data_Ni2OsBr
_chemical_formula_sum 'Ni2 Os1 Br1'
_space_group_name_H-M_alt 'P m m m'
_space_group_IT_number 47
_space_group_name_Hall '-P 2 2'
_cell_length_a 2.7525
_cell_length_b 2.8904
_cell_length_c 7.5324
_cell_angle_alpha 90.00
_cell_angle_beta 90.00
_cell_angle_gamma 90.00
loop_
_atom_site_label
_atom_site_fract_x
_atom_site_fract_y
_atom_site_fract_z
Ni1 0.0000 0.0000 0.2152
Os1 0.5000 0.5000 0.0000
Br1 0.0000 0.5000 0.5000

# 6
# Zn2Ge2Cl | Alexandria | GGA-PBE | optimized geometry
# **Crystal system**: tetragonal
# **Energy above the most stable polymorph in this dataset**: 8 meV/atom
# **Energy relative to the elements, uncorrected**: 0.5 eV/f.u.
data_Zn2Ge2Cl
_chemical_formula_sum 'Zn4 Ge4 Cl2'
_space_group_name_H-M_alt 'P 4/m b m'
_space_group_IT_number 127
_space_group_name_Hall '-P 4 2ab'
_cell_length_a 7.6383
_cell_length_b 7.6383
_cell_length_c 3.3832
_cell_angle_alpha 90.00
_cell_angle_beta 90.00
_cell_angle_gamma 90.00
loop_
_atom_site_label
_atom_site_fract_x
_atom_site_fract_y
_atom_site_fract_z
Zn1 0.1874 0.3126 0.0000
Ge1 0.1163 0.6163 0.5000
Cl1 0.0000 0.0000 0.0000

# 7
# CuSiN2 | Alexandria | GGA-PBE | optimized geometry
# **Crystal system**: trigonal
# **Energy above the most stable polymorph in this dataset**: 210 meV/atom
# **Energy relative to the elements, uncorrected**: -0.5 eV/f.u.
data_CuSiN2
_chemical_formula_sum 'Cu3 Si3 N6'
_space_group_name_H-M_alt 'R -3 m'
_space_group_IT_number 166
_space_group_name_Hall '-R 3 2"'
_cell_length_a 2.8032
_cell_length_b 2.8032
_cell_length_c 17.0301
_cell_angle_alpha 90.00
_cell_angle_beta 90.00
_cell_angle_gamma 120.00
loop_
_atom_site_label
_atom_site_fract_x
_atom_site_fract_y
_atom_site_fract_z
Cu1 0.0000 0.0000 0.0000
Si1 0.0000 0.0000 0.5000
N1 0.0000 0.0000 0.1087

# 8
# Ba2Tl3Hg4Pb | Alexandria | GGA-PBE | optimized geometry
# **Crystal system**: tetragonal
# **DFT formation energy**: -299 meV per atom
data_Ba2Tl3Hg4Pb
_chemical_formula_sum 'Ba2 Tl3 Hg4 Pb1'
_space_group_name_H-M_alt 'P -4 m 2'
_space_group_IT_number 115
_space_group_name_Hall 'P -4 -2'
_cell_length_a 5.2017
_cell_length_b 5.2017
_cell_length_c 12.1890
_cell_angle_alpha 90.00
_cell_angle_beta 90.00
_cell_angle_gamma 90.00
loop_
_atom_site_label
_atom_site_fract_x
_atom_site_fract_y
_atom_site_fract_z
Ba1 0.0000 0.5000 0.2414
Tl1 0.0000 0.5000 0.8737
Tl2 0.5000 0.5000 0.5000
Hg1 0.0000 0.0000 0.0000
Hg2 0.0000 0.5000 0.6355
Hg3 0.5000 0.5000 0.0000
Pb1 0.0000 0.0000 0.5000

# 9
# Pm3TlNi | Alexandria | GGA-PBE | optimized geometry
# **Crystal system**: monoclinic
# **Energy above the most stable polymorph in this dataset**: 0 meV/atom
# **DFT formation energy**: -263 meV per atom
data_Pm3TlNi
_chemical_formula_sum 'Pm6 Tl2 Ni2'
_space_group_name_H-M_alt 'P 1 21/m 1'
_space_group_IT_number 11
_space_group_name_Hall '-P 2yb'
_cell_length_a 8.5387
_cell_length_b 3.8525
_cell_length_c 8.8835
_cell_angle_alpha 90.00
_cell_angle_beta 102.49
_cell_angle_gamma 90.00
loop_
_atom_site_label
_atom_site_fract_x
_atom_site_fract_y
_atom_site_fract_z
Pm1 0.0666 0.2500 0.2358
Pm2 0.2969 0.2500 0.9260
Pm3 0.3022 0.7500 0.5816
Tl1 0.3972 0.7500 0.2402
Ni1 0.0514 0.2500 0.5769

# 10
# AcMg4Ga3 | Alexandria | GGA-PBE | optimized geometry
# **Crystal system**: tetragonal
# **DFT formation energy**: -321 meV per atom
data_AcMg4Ga3
_chemical_formula_sum 'Ac1 Mg4 Ga3'
_space_group_name_H-M_alt 'P 4/m m m'
_space_group_IT_number 123
_space_group_name_Hall '-P 4 2'
_cell_length_a 4.5773
_cell_length_b 4.5773
_cell_length_c 9.0231
_cell_angle_alpha 90.00
_cell_angle_beta 90.00
_cell_angle_gamma 90.00
loop_
_atom_site_label
_atom_site_fract_x
_atom_site_fract_y
_atom_site_fract_z
Ac1 0.0000 0.0000 0.0000
Mg1 0.0000 0.5000 0.3232
Ga1 0.0000 0.0000 0.5000
Ga2 0.5000 0.5000 0.1381

# 11
# Tb2CePmDy | Alexandria | GGA-PBE | optimized geometry
# **Crystal system**: orthorhombic
# **DFT formation energy**: 287 meV per atom
data_Tb2CePmDy
_chemical_formula_sum 'Tb4 Ce2 Pm2 Dy2'
_space_group_name_H-M_alt 'P m m a'
_space_group_IT_number 51
_space_group_name_Hall '-P 2a 2a'
_cell_length_a 5.9208
_cell_length_b 8.0419
_cell_length_c 6.9052
_cell_angle_alpha 90.00
_cell_angle_beta 90.00
_cell_angle_gamma 90.00
loop_
_atom_site_label
_atom_site_fract_x
_atom_site_fract_y
_atom_site_fract_z
Tb1 0.2500 0.2028 0.1884
Ce1 0.0000 0.5000 0.5000
Pm1 0.2500 0.0000 0.6641
Dy1 0.2500 0.5000 0.9065

# 12
# Er3Np3AlN8 | Alexandria | GGA-PBE | optimized geometry
# **Crystal system**: trigonal
# **Energy relative to the elements, uncorrected**: -17.8 eV/f.u.
data_Er3Np3AlN8
_chemical_formula_sum 'Er9 Np9 Al3 N24'
_space_group_name_H-M_alt 'R -3 m'
_space_group_IT_number 166
_space_group_name_Hall '-R 3 2"'
_cell_length_a 6.6515
_cell_length_b 6.6515
_cell_length_c 16.7232
_cell_angle_alpha 90.00
_cell_angle_beta 90.00
_cell_angle_gamma 120.00
loop_
_atom_site_label
_atom_site_fract_x
_atom_site_fract_y
_atom_site_fract_z
Er1 0.0000 0.5000 0.0000
Np1 0.0000 0.5000 0.5000
Al1 0.0000 0.0000 0.5000
N1 0.0000 0.0000 0.2523
N2 0.0219 0.5109 0.2379

Number 1: size of the total moment 0.00 μB per cell, volume 21.32 A^3/atom. Number 2: size of the total moment 0.00 μB per cell, volume 33.62 A^3/atom. Number 3: size of the total moment 0.00 μB per cell, volume 34.00 A^3/atom. Number 4: size of the total moment 0.00 μB per cell, volume 13.36 A^3/atom. Number 5: size of the total moment 0.00 μB per cell, volume 14.98 A^3/atom. Number 6: size of the total moment 0.00 μB per cell, volume 19.74 A^3/atom. Number 7: size of the total moment 0.00 μB per cell, volume 9.66 A^3/atom. Number 8: size of the total moment 0.00 μB per cell, volume 32.98 A^3/atom. Number 9: size of the total moment 0.00 μB per cell, volume 28.53 A^3/atom. Number 10: size of the total moment 0.00 μB per cell, volume 23.63 A^3/atom. Number 11: size of the total moment 3.25 μB per cell, volume 32.88 A^3/atom. Number 12: size of the total moment 26.08 μB per cell, volume 14.24 A^3/atom.